This record from Alexandria describes an optimized crystal structure of PmTmPI. The functional is PBE.

Results
DFT total energy, eV/atom: -5.353
Magnetic moment, μB per formula unit: 0.0

a = 4.0817 Å, b = 4.0817 Å, c = 22.4205 Å
α = 90.00°, β = 90.00°, γ = 120.00°
Last column: nearest neighbours and their distance in Å.
Space group R3m (No. 160, hexagonal axes)
Inequivalent atoms, fractional coordinates:
1 Pm 0.0000 0.0000 0.0000 [3 per cell]  3 P 2.84
2 Tm 0.0000 0.0000 0.7943 [3 per cell]  3 P 2.68
3 P 0.0000 0.0000 0.4039 [3 per cell]  3 Tm 2.68, 3 Pm 2.84
4 I 0.0000 0.0000 0.2266 [3 per cell]  3 Tm 3.24, 3 Pm 3.36

---

This record from Alexandria describes an optimized crystal structure of PmYPI. The functional is PBE.

Results
DFT total energy, eV/atom: -5.893
Magnetic moment, μB per formula unit: 0.0

a = 4.1092 Å, b = 4.1092 Å, c = 22.6818 Å
α = 90.00°, β = 90.00°, γ = 120.00°
Last column: nearest neighbours and their distance in Å.
Space group R3m (No. 160, hexagonal axes)
Inequivalent atoms, fractional coordinates:
1 Pm 0.0000 0.0000 0.0000 [3 per cell]  3 P 2.84
2 Y 0.0000 0.0000 0.2056 [3 per cell]  3 P 2.73
3 P 0.0000 0.0000 0.5982 [3 per cell]  3 Y 2.73, 3 Pm 2.84
4 I 0.0000 0.0000 0.7721 [3 per cell]  3 Y 3.28, 3 Pm 3.37

---

This record from Alexandria describes an optimized crystal structure of Pm4ZnPI2. The functional is PBE.

Results
DFT total energy, eV/atom: -4.549
Magnetic moment, μB per formula unit: 0.0

a = 7.4343 Å, b = 4.1568 Å, c = 8.0517 Å
α = 90.00°, β = 107.12°, γ = 90.00°
Last column: nearest neighbours and their distance in Å.
Space group P2/m (No. 10)
Inequivalent atoms, fractional coordinates:
1 Pm 0.2236 0.0000 0.1953 [2 per cell]  2 P 2.83, 1 Zn 2.93
2 Pm 0.2600 0.5000 0.7966 [2 per cell]  1 P 2.88, 2 Zn 2.91
3 Zn 0.5000 0.0000 0.0000 [1 per cell]  6 Pm 2.91-2.93
4 P 0.0000 0.5000 0.0000 [1 per cell]  6 Pm 2.83-2.88
5 I 0.0000 0.0000 0.5000 [1 per cell]  6 Pm 3.32-3.34
6 I 0.5000 0.5000 0.5000 [1 per cell]  6 Pm 3.38-3.40

---

This record from Alexandria describes an optimized crystal structure of Pr6P5I. The functional is PBE.

Results
DFT total energy, eV/atom: -6.251
Magnetic moment, μB per formula unit: 0.0

a = 7.4007 Å, b = 12.7947 Å, c = 7.3666 Å
α = 90.00°, β = 109.63°, γ = 90.00°
Last column: nearest neighbours and their distance in Å.
Space group C2/m (No. 12)
Inequivalent atoms, fractional coordinates:
1 Pr 0.2308 0.0000 0.2639 [4 per cell]  5 P 2.82-3.01
2 Pr 0.2325 0.1795 0.7377 [8 per cell]  5 P 2.86-3.06
3 P 0.0000 0.0000 0.5000 [2 per cell]  6 Pr 2.82-3.05
4 P 0.0000 0.1675 0.0000 [4 per cell]  6 Pr 2.99-3.01
5 P 0.0000 0.3397 0.5000 [4 per cell]  6 Pr 2.86-3.06
6 I 0.0000 0.5000 0.0000 [2 per cell]  6 Pr 3.22

---

This record from Alexandria describes an optimized crystal structure of Pr3PI3. The functional is PBE.

Results
DFT total energy, eV/atom: -4.874
Excess energy over the best structure of this formula in the dataset, eV/atom: 0.0000
Magnetic moment, μB per formula unit: 0.0

a = 9.2005 Å, b = 4.2789 Å, c = 12.5136 Å
α = 90.00°, β = 90.40°, γ = 90.00°
Last column: nearest neighbours and their distance in Å.
Space group P2_1/m (No. 11)
Inequivalent atoms, fractional coordinates:
1 Pr 0.0903 0.2500 0.3887 [2 per cell]  3 P 2.86-2.87
2 Pr 0.1196 0.2500 0.8411 [2 per cell]  1 P 2.81
3 Pr 0.3213 0.7500 0.6240 [2 per cell]  2 P 2.85
4 P 0.1175 0.2500 0.6164 [2 per cell]  6 Pr 2.81-2.87
5 I 0.1406 0.2500 0.1203 [2 per cell]  4 Pr 3.25-3.50
6 I 0.3750 0.7500 0.8774 [2 per cell]  3 Pr 3.21
7 I 0.3830 0.7500 0.3656 [2 per cell]  5 Pr 3.29-3.46

---

This record from Alexandria describes an optimized crystal structure of Pr5P4I. The functional is PBE.

Results
DFT total energy, eV/atom: -6.172
Magnetic moment, μB per formula unit: 0.0

a = 14.2131 Å, b = 4.2325 Å, c = 10.6077 Å
α = 90.00°, β = 120.03°, γ = 90.00°
Last column: nearest neighbours and their distance in Å.
Space group C2/m (No. 12)
Inequivalent atoms, fractional coordinates:
1 Pr 0.0000 0.0000 0.0000 [2 per cell]  6 P 3.01-3.06
2 Pr 0.1139 0.5000 0.3785 [4 per cell]  4 P 2.86-3.08
3 Pr 0.2105 0.0000 0.8242 [4 per cell]  5 P 2.89-3.00
4 P 0.0948 0.5000 0.8937 [4 per cell]  6 Pr 2.89-3.01
5 P 0.2082 0.0000 0.2978 [4 per cell]  6 Pr 2.86-3.08
6 I 0.0000 0.0000 0.5000 [2 per cell]  6 Pr 3.24-3.29

---

This record from Alexandria describes an optimized crystal structure of Pr3PI3. The functional is PBE.

Results
DFT total energy, eV/atom: -4.422
Excess energy over the best structure of this formula in the dataset, eV/atom: 0.4521
Magnetic moment, μB per formula unit: 0.9

a = 11.0322 Å, b = 12.9935 Å, c = 9.1888 Å
α = 90.00°, β = 119.17°, γ = 90.00°
Last column: nearest neighbours and their distance in Å.
Space group C2/m (No. 12)
Inequivalent atoms, fractional coordinates:
1 Pr 0.0550 0.0000 0.3176 [4 per cell]  2 P 2.75-2.76
2 Pr 0.1565 0.3298 0.3003 [8 per cell]  1 P 2.73
3 P 0.1855 0.0000 0.6619 [4 per cell]  4 Pr 2.73-2.76
4 I 0.0000 0.1599 0.0000 [4 per cell]  4 Pr 3.29-3.39
5 I 0.0000 0.2632 0.5000 [4 per cell]  4 Pr 3.19-3.52
6 I 0.0882 0.5000 0.8267 [4 per cell]  2 Pr 3.24

---

This record from Alexandria describes an optimized crystal structure of Pr4PI5. The functional is PBE.

Results
DFT total energy, eV/atom: -4.635
Magnetic moment, μB per formula unit: 0.0

a = 19.6607 Å, b = 4.2814 Å, c = 9.0783 Å
α = 90.00°, β = 102.80°, γ = 90.00°
Last column: nearest neighbours and their distance in Å.
Space group C2/m (No. 12)
Inequivalent atoms, fractional coordinates:
1 Pr 0.0008 0.0000 0.2910 [4 per cell]  2 P 2.86
2 Pr 0.1447 0.5000 0.5723 [4 per cell]  1 P 2.77
3 P 0.0000 0.5000 0.5000 [2 per cell]  6 Pr 2.77-2.86
4 I 0.0000 0.5000 0.0000 [2 per cell]  4 Pr 3.40
5 I 0.1658 0.0000 0.8405 [4 per cell]  3 Pr 3.20-3.23
6 I 0.1714 0.0000 0.3226 [4 per cell]  4 Pr 3.24-3.53

---

Number 1: E_form (uncorrected) -5.23 eV per formula unit. Number 2: E_form (uncorrected) -5.40 eV per formula unit. Number 3: E_form (uncorrected) -7.60 eV per formula unit. Number 4: E_form (uncorrected) -17.73 eV per formula unit. Number 5: E_form (uncorrected) -9.72 eV per formula unit. Number 6: E_form (uncorrected) -14.63 eV per formula unit. Number 7: E_form (uncorrected) -6.55 eV per formula unit. Number 8: E_form (uncorrected) -14.07 eV per formula unit.